Entry 1:
An optimized crystal structure of TbEr2Mg. Source: Alexandria, functional PBE-GGA.

a = 4.9035 Å, b = 4.8721 Å, c = 4.8721 Å
α = 90.00°, β = 90.00°, γ = 90.00°
Last column: nearest neighbours and their distance in Å.
Sites, in units of the cell vectors:
1 Mg 0.5000 0.0000 0.0000  4 Tb 3.45, 8 Er 3.46
2 Tb 0.5000 0.5000 0.5000  4 Mg 3.45, 8 Er 3.46
3 Er 0.0000 0.0000 0.5000  4 Er 3.45, 4 Tb 3.46, 4 Mg 3.46
4 Er 0.0000 0.5000 0.0000  4 Er 3.45, 4 Tb 3.46, 4 Mg 3.46

Output
The calculation puts the energy of formation at 0.1 eV per formula unit. The energy above the lowest structure with this stoichiometry is 57 meV/atom. As for the symmetry: P4/mmm, No. 123. The size of the total moment comes out at 0.000 μB/atom.

Entry 2:
An optimized crystal structure of CrSe2SN. Source: Alexandria, functional PBE-GGA.

a = 4.8553 Å, b = 4.8553 Å, c = 3.5138 Å
α = 90.00°, β = 90.00°, γ = 90.00°
Last column: nearest neighbours and their distance in Å.
Sites, in units of the cell vectors:
1 Cr 0.0000 0.0000 0.0000  2 N 1.76
2 S 0.5000 0.5000 0.5000  8 Se 3.00
3 Se 0.0000 0.5000 0.0000  2 Cr 2.43
4 Se 0.5000 0.0000 0.0000  2 Cr 2.43
5 N 0.0000 0.0000 0.5000  2 Cr 1.76

Output
The energy above the lowest structure with this stoichiometry is 0 meV/atom. As for the symmetry: P4/mmm, No. 123. The size of the total moment comes out at 0.000 μB/atom. The value obtained for the energy relative to the elements, uncorrected is 210 kJ/mol of formula units.

Entry 3:
An optimized crystal structure of MgBiSeBr2. Source: Alexandria, functional PBE-GGA.

a = 5.5601 Å, b = 6.0816 Å, c = 5.5601 Å
α = 90.00°, β = 90.00°, γ = 90.00°
Last column: nearest neighbours and their distance in Å.
Sites, in units of the cell vectors:
1 Mg 0.0000 0.5000 0.0000  2 Bi 3.04
2 Se 0.5000 0.5000 0.5000  4 Mg 3.93, 8 Br 4.12
3 Bi 0.0000 0.0000 0.0000  4 Br 2.78, 2 Mg 3.04
4 Br 0.0000 0.0000 0.5000  2 Bi 2.78
5 Br 0.5000 0.0000 0.0000  2 Bi 2.78

Output
The energy above the lowest structure with this stoichiometry is 553 meV/atom. As for the symmetry: P4/mmm, No. 123. The size of the total moment comes out at 0.200 μB/atom. The value obtained for the energy relative to the elements, uncorrected is 36 kJ/mol of formula units.

Entry 4:
An optimized crystal structure of Fe2SiMo. Source: Alexandria, functional PBE-GGA.

a = 4.6961 Å, b = 4.8920 Å, c = 2.6328 Å
α = 78.40°, β = 81.85°, γ = 116.22°
Last column: nearest neighbours and their distance in Å.
Sites, in units of the cell vectors:
1 Fe 0.0000 0.0000 0.0000  4 Fe 2.52-2.63, 2 Mo 2.53, 2 Si 2.53
2 Fe 0.5000 0.0000 0.5000  4 Fe 2.52-2.63, 2 Si 2.53, 2 Mo 2.53
3 Mo 0.0000 0.5000 0.5000  2 Si 2.52, 4 Fe 2.53, 2 Mo 2.63
4 Si 0.5000 0.5000 0.0000  2 Mo 2.52, 4 Fe 2.53, 2 Si 2.63

Output
As for the symmetry: C2/m, No. 12. The size of the total moment comes out at 0.987 μB/atom. The value obtained for the energy relative to the elements, uncorrected is -7 kJ/mol of formula units.

Entry 5:
An optimized crystal structure of CsMg3Pd. Source: Alexandria, functional PBE-GGA.

a = 5.3292 Å, b = 5.3292 Å, c = 5.3292 Å
α = 90.00°, β = 90.00°, γ = 90.00°
Last column: nearest neighbours and their distance in Å.
Sites, in units of the cell vectors:
1 Cs 0.5000 0.5000 0.5000  12 Mg 3.77
2 Mg 0.0000 0.5000 0.0000  2 Pd 2.66
3 Mg 0.0000 0.0000 0.5000  2 Pd 2.66
4 Mg 0.5000 0.0000 0.0000  2 Pd 2.66
5 Pd 0.0000 0.0000 0.0000  6 Mg 2.66

Output
The calculation puts the energy of formation at -0.4 eV per formula unit. The energy above the lowest structure with this stoichiometry is 0 meV/atom. As for the symmetry: Pm-3m, No. 221. The size of the total moment comes out at 0.000 μB/atom.

Entry 6:
An optimized crystal structure of Zr2PtCl. Source: Alexandria, functional PBE-GGA.

a = 4.2121 Å, b = 4.2121 Å, c = 7.7818 Å
α = 105.56°, β = 105.56°, γ = 60.02°
Last column: nearest neighbours and their distance in Å.
Sites, in units of the cell vectors:
1 Cl 0.7500 0.7500 0.7500  2 Zr 2.56
2 Pt 0.2500 0.2500 0.2500  6 Zr 2.68-2.69
3 Zr 0.8657 0.8657 0.0962  1 Cl 2.56, 3 Pt 2.68-2.69
4 Zr 0.6343 0.6343 0.4038  1 Cl 2.56, 3 Pt 2.68-2.69

Output
The energy above the lowest structure with this stoichiometry is 0 meV/atom. As for the symmetry: C2/m, No. 12. The size of the total moment comes out at 0.000 μB/atom. The value obtained for the energy relative to the elements, uncorrected is -341 kJ/mol of formula units.

Entry 7:
An optimized crystal structure of Tm6In5Ag. Source: Alexandria, functional PBE-GGA.

a = 5.2566 Å, b = 7.3184 Å, c = 8.3380 Å
α = 90.00°, β = 71.24°, γ = 90.00°
Last column: nearest neighbours and their distance in Å.
Sites, in units of the cell vectors:
1 Tm 0.8354 0.7534 0.3286  1 Ag 3.16, 7 In 3.19-3.26
2 Tm 0.8354 0.2466 0.3286  1 Ag 3.16, 7 In 3.19-3.26
3 Tm 0.5000 0.2457 0.0000  6 In 3.15-3.24, 2 Ag 3.18
4 Tm 0.5000 0.7543 0.0000  6 In 3.15-3.24, 2 Ag 3.18
5 Tm 0.1646 0.7534 0.6714  1 Ag 3.16, 7 In 3.19-3.26
6 Tm 0.1646 0.2466 0.6714  1 Ag 3.16, 7 In 3.19-3.26
7 Ag 0.0000 0.0000 0.0000  8 Tm 3.16-3.18
8 In 0.6681 0.5000 0.6646  8 Tm 3.22-3.24
9 In 0.3356 0.0000 0.3281  8 Tm 3.15-3.26
10 In 0.0000 0.5000 0.0000  8 Tm 3.19-3.22
11 In 0.6644 0.0000 0.6719  8 Tm 3.15-3.26
12 In 0.3319 0.5000 0.3354  8 Tm 3.22-3.24

Output
The calculation puts the energy of formation at -4.9 eV per formula unit. As for the symmetry: P2/m, No. 10. The size of the total moment comes out at 0.000 μB/atom.

Entry 8:
An optimized crystal structure of TiHgPd. Source: Alexandria, functional PBE-GGA.

a = 3.3084 Å, b = 3.3084 Å, c = 9.8869 Å
α = 90.00°, β = 90.00°, γ = 90.00°
Last column: nearest neighbours and their distance in Å.
Sites, in units of the cell vectors:
1 Hg 0.0000 0.5000 0.6074  4 Ti 2.98, 1 Pd 3.08, 8 Hg 3.16-3.31
2 Hg 0.5000 0.0000 0.3926  4 Ti 2.98, 1 Pd 3.08, 8 Hg 3.16-3.31
3 Ti 0.0000 0.5000 0.2057  5 Pd 2.64-2.84
4 Ti 0.5000 0.0000 0.7943  5 Pd 2.64-2.84
5 Pd 0.5000 0.0000 0.0811  5 Ti 2.64-2.84, 4 Pd 2.84
6 Pd 0.0000 0.5000 0.9189  5 Ti 2.64-2.84, 4 Pd 2.84

Output
The calculation puts the energy of formation at -0.8 eV per formula unit. As for the symmetry: P4/nmm, No. 129. The size of the total moment comes out at 0.127 μB/atom.

Entry 9:
An optimized crystal structure of Li3Al. Source: Alexandria, functional PBE-GGA.

a = 2.7538 Å, b = 2.7547 Å, c = 10.1720 Å
α = 90.00°, β = 90.00°, γ = 90.00°
Last column: nearest neighbours and their distance in Å.
Sites, in units of the cell vectors:
1 Li 0.0000 0.0000 0.9503  6 Li 2.75-2.96, 2 Al 2.82
2 Li 0.0000 0.5000 0.2083  8 Li 2.75-2.96
3 Li 0.5000 0.5000 0.4664  6 Li 2.75-2.96, 2 Al 2.82
4 Al 0.5000 0.0000 0.7084  4 Al 2.75, 4 Li 2.82

Output
The calculation puts the energy of formation at 0.4 eV per formula unit. As for the symmetry: P-4m2, No. 115. The size of the total moment comes out at 0.000 μB/atom.

Entry 10:
An optimized crystal structure of CrTePd6. Source: Alexandria, functional PBE-GGA.

a = 4.0072 Å, b = 4.0072 Å, c = 7.9810 Å
α = 90.00°, β = 90.00°, γ = 90.00°
Last column: nearest neighbours and their distance in Å.
Sites, in units of the cell vectors:
1 Cr 0.0000 0.0000 0.5000  12 Pd 2.77-2.83
2 Te 0.0000 0.0000 0.0000  12 Pd 2.83-2.88
3 Pd 0.5000 0.5000 0.0000  4 Te 2.83, 8 Pd 2.88
4 Pd 0.5000 0.5000 0.5000  8 Pd 2.77, 4 Cr 2.83
5 Pd 0.5000 0.0000 0.2600  2 Cr 2.77, 8 Pd 2.77-2.88, 2 Te 2.88
6 Pd 0.5000 0.0000 0.7400  2 Cr 2.77, 8 Pd 2.77-2.88, 2 Te 2.88
7 Pd 0.0000 0.5000 0.2600  2 Cr 2.77, 8 Pd 2.77-2.88, 2 Te 2.88
8 Pd 0.0000 0.5000 0.7400  8 Pd 2.77-2.88, 2 Cr 2.77, 2 Te 2.88

Output
As for the symmetry: P4/mmm, No. 123. The size of the total moment comes out at 0.461 μB/atom. The value obtained for the energy relative to the elements, uncorrected is -104 kJ/mol of formula units.

What are the N(E_F) values for these records? In order: 7.38, 3.05, 0.32, 3.94, 2.68, 2.05, 9.26, 6.15, 1.71, 10.04 states/eV per cell.